Entry 1:
TiZnAu6: relaxed, GGA-PBE.

Cell: 4.1348 4.1348 8.1955 Å, 90.00 90.00 90.00°
Closest atoms and distances in Å follow each position.
Atoms (fractional coordinates):
1 Ti 0.0000 0.0000 0.0000  12 Au 2.90-2.92
2 Zn 0.0000 0.0000 0.5000  12 Au 2.92
3 Au 0.0000 0.5000 0.2485  2 Ti 2.90, 8 Au 2.90-2.92, 2 Zn 2.92
4 Au 0.0000 0.5000 0.7515  2 Ti 2.90, 8 Au 2.90-2.92, 2 Zn 2.92
5 Au 0.5000 0.0000 0.2485  2 Ti 2.90, 8 Au 2.90-2.92, 2 Zn 2.92
6 Au 0.5000 0.0000 0.7515  2 Ti 2.90, 8 Au 2.90-2.92, 2 Zn 2.92
7 Au 0.5000 0.5000 0.0000  8 Au 2.90, 4 Ti 2.92
8 Au 0.5000 0.5000 0.5000  8 Au 2.92, 4 Zn 2.92

## Properties
symmetry	P4/mmm

Entry 2:
Ti2Zn2Au: relaxed, GGA-PBE.

Cell: 6.7089 6.7089 3.5862 Å, 90.00 90.00 90.00°
Closest atoms and distances in Å follow each position.
Atoms (fractional coordinates):
1 Ti 0.1660 0.3340 0.0000  6 Zn 2.63-2.69
2 Ti 0.3340 0.8340 0.0000  6 Zn 2.63-2.69
3 Ti 0.6660 0.1660 0.0000  6 Zn 2.63-2.69
4 Ti 0.8340 0.6660 0.0000  6 Zn 2.63-2.69
5 Zn 0.1312 0.6312 0.5000  1 Zn 2.49, 2 Au 2.63, 6 Ti 2.63-2.69
6 Zn 0.3688 0.1312 0.5000  1 Zn 2.49, 2 Au 2.63, 6 Ti 2.63-2.69
7 Zn 0.6312 0.8688 0.5000  1 Zn 2.49, 2 Au 2.63, 6 Ti 2.63-2.69
8 Zn 0.8688 0.3688 0.5000  1 Zn 2.49, 2 Au 2.63, 6 Ti 2.63-2.69
9 Au 0.0000 0.0000 0.5000  4 Zn 2.63
10 Au 0.5000 0.5000 0.5000  4 Zn 2.63

## Properties
symmetry	P4/mbm
offset from the most stable computed form	0.000	eV per atom

Entry 3:
Ti2ZnAu2: relaxed, GGA-PBE.

Cell: 7.2295 7.2295 3.3845 Å, 90.00 90.00 90.00°
Closest atoms and distances in Å follow each position.
Atoms (fractional coordinates):
1 Ti 0.1684 0.3316 0.0000  6 Au 2.63-2.78
2 Ti 0.3316 0.8316 0.0000  6 Au 2.63-2.78
3 Ti 0.6684 0.1684 0.0000  6 Au 2.63-2.78
4 Ti 0.8316 0.6684 0.0000  6 Au 2.63-2.78
5 Zn 0.0000 0.0000 0.5000  4 Au 2.81
6 Zn 0.5000 0.5000 0.5000  4 Au 2.81
7 Au 0.1349 0.6349 0.5000  6 Ti 2.63-2.78, 1 Au 2.76, 2 Zn 2.81
8 Au 0.3651 0.1349 0.5000  6 Ti 2.63-2.78, 1 Au 2.76, 2 Zn 2.81
9 Au 0.6349 0.8651 0.5000  6 Ti 2.63-2.78, 1 Au 2.76, 2 Zn 2.81
10 Au 0.8651 0.3651 0.5000  6 Ti 2.63-2.78, 1 Au 2.76, 2 Zn 2.81

## Properties
symmetry	P4/mbm
offset from the most stable computed form	0.048	eV per atom

Entry 4:
TiZnAu: relaxed, GGA-PBE.

Cell: 4.4810 4.4810 2.8031 Å, 90.00 90.00 120.00°
Closest atoms and distances in Å follow each position.
Atoms (fractional coordinates):
1 Ti 0.0000 0.0000 0.0000  2 Ti 2.80, 6 Au 2.94, 6 Zn 2.94
2 Zn 0.3333 0.6667 0.5000  3 Au 2.59, 2 Zn 2.80
3 Au 0.6667 0.3333 0.5000  3 Zn 2.59, 2 Au 2.80

## Properties
symmetry	P-6m2

Entry 5:
ZrTi2Zn2Au2: relaxed, GGA-PBE.

Cell: 7.1619 7.1619 7.1619 Å, 37.03 37.03 37.03°
Closest atoms and distances in Å follow each position.
Atoms (fractional coordinates):
1 Zr 0.0000 0.0000 0.0000  2 Ti 2.74, 6 Zn 2.89
2 Ti 0.1373 0.1373 0.1373  1 Zn 2.71, 1 Zr 2.74, 3 Au 2.79, 3 Ti 2.88
3 Ti 0.8627 0.8627 0.8627  1 Zn 2.71, 1 Zr 2.74, 3 Au 2.79, 3 Ti 2.88
4 Zn 0.2729 0.2729 0.2729  4 Au 2.69-3.00, 1 Ti 2.71, 3 Zr 2.89
5 Zn 0.7271 0.7271 0.7271  4 Au 2.69-3.00, 1 Ti 2.71, 3 Zr 2.89
6 Au 0.4231 0.4231 0.4231  4 Zn 2.69-3.00, 3 Ti 2.79
7 Au 0.5769 0.5769 0.5769  4 Zn 2.69-3.00, 3 Ti 2.79

## Properties
symmetry	R-3m

Entry 6:
ZrTiAu2: relaxed, GGA-PBE.

Cell: 4.7636 4.7636 4.7636 Å, 60.00 60.00 60.00°
Closest atoms and distances in Å follow each position.
Atoms (fractional coordinates):
1 Zr 0.0000 0.0000 0.0000  8 Au 2.92
2 Ti 0.5000 0.5000 0.5000  8 Au 2.92
3 Au 0.2500 0.2500 0.2500  4 Zr 2.92, 4 Ti 2.92
4 Au 0.7500 0.7500 0.7500  4 Zr 2.92, 4 Ti 2.92

## Properties
symmetry	Fm-3m
offset from the most stable computed form	0.029	eV per atom

| no. | uncorrected energy (eV for the cell shown) | E_form (meV/atom) | DOS at the Fermi energy (states/eV/atom) |
| --- | --- | --- | --- |
| 1 | -29.87 | -129 | 0.8189 |
| 2 | -45.35 | -212 | 0.7935 |
| 3 | -49.57 | -233 | 1.3648 |
| 4 | -13.34 | -299 | 0.5160 |
| 5 | -35.20 | -251 | 0.5370 |
| 6 | -24.52 | -380 | 0.4707 |